# BaPrSn2

An optimized crystal structure of BaPrSn2 (PBE-GGA, OQMD).

Cell lengths 3.557, 7.294, 7.294 Å; angles 54.40, 90.00, 90.00 degrees
Fractional positions:
Pr (0.000, 0.351, 0.351)
Ba (0.000, 0.636, 0.636)
Sn (0.000, 0.898, 0.898)
Sn (0.000, 0.115, 0.115)

Summary:
DFT total energy, eV/atom: -3.647
Volume, Å³ per atom: 38.5